Run i
DFT (SCAN) results for Cd2SiH2 at its PBEsol-relaxed geometry.

DOS(E_F) (states/eV/atom): 0.160

Unit cell a=5.383 b=5.383 c=4.865 alpha=90.00 beta=90.00 gamma=90.00
Space group P4/mbm (No. 127)
Inequivalent atoms, fractional coordinates:
Cd  0.183  0.317  0.000 [4 per cell]
Si  0.000  0.000  0.500 [2 per cell]
H  0.225  0.275  0.500 [4 per cell]



Run ii
DFT (SCAN) results for Cd2SiH2 at its PBEsol-relaxed geometry.

DOS(E_F) (states/eV/atom): 0.119

Unit cell a=4.637 b=4.637 c=6.388 alpha=90.00 beta=90.00 gamma=90.00
Space group I4/mmm (No. 139)
Inequivalent atoms, fractional coordinates:
Cd  0.000  0.500  0.250 [4 per cell]
Si  0.000  0.000  0.000 [2 per cell]
H  0.000  0.000  0.439 [4 per cell]



Stability check: which of them is most stable? run ii.



Run i
DFT (SCAN) results for CdHg3 at its PBEsol-relaxed geometry.

DOS(E_F) (states/eV/atom): 0.282

Unit cell a=3.903 b=5.010 c=9.291 alpha=90.00 beta=90.00 gamma=90.00
Space group Immm (No. 71)
Inequivalent atoms, fractional coordinates:
Cd  0.000  0.000  0.000 [2 per cell]
Hg  0.000  0.000  0.500 [2 per cell]
Hg  0.000  0.500  0.254 [4 per cell]



Run ii
DFT (SCAN) results for CdHg3 at its PBEsol-relaxed geometry.

DOS(E_F) (states/eV/atom): 0.342

Unit cell a=5.158 b=5.158 c=3.428 alpha=90.00 beta=90.00 gamma=90.00
Space group P4/mmm (No. 123)
Inequivalent atoms, fractional coordinates:
Cd  0.000  0.000  0.000 [1 per cell]
Hg  0.000  0.500  0.500 [2 per cell]
Hg  0.500  0.500  0.000 [1 per cell]



Stability check: which of them is most stable? run i.



Run i
DFT (SCAN) results for CdHg3 at its PBEsol-relaxed geometry.

DOS(E_F) (states/eV/atom): 0.358

Unit cell a=4.446 b=4.446 c=8.972 alpha=90.00 beta=90.00 gamma=90.00
Space group I4/mmm (No. 139)
Inequivalent atoms, fractional coordinates:
Cd  0.000  0.000  0.000 [2 per cell]
Hg  0.000  0.000  0.500 [2 per cell]
Hg  0.000  0.500  0.250 [4 per cell]



Run ii
DFT (SCAN) results for CdHg3 at its PBEsol-relaxed geometry.

DOS(E_F) (states/eV/atom): 0.267

Unit cell a=7.153 b=7.153 c=7.153 alpha=90.00 beta=90.00 gamma=90.00
Space group Fm-3m (No. 225)
Inequivalent atoms, fractional coordinates:
Cd  0.000  0.000  0.000 [4 per cell]
Hg  0.000  0.000  0.500 [4 per cell]
Hg  0.250  0.250  0.250 [8 per cell]



Stability check: which of them is most stable? run ii.



Run i
DFT (SCAN) results for CdHg3 at its PBEsol-relaxed geometry.

DOS(E_F) (states/eV/atom): 0.314

Unit cell a=3.167 b=4.954 c=5.722 alpha=90.00 beta=90.00 gamma=90.00
Space group Pmm2 (No. 25)
Inequivalent atoms, fractional coordinates:
Cd  0.000  0.000  0.000 [1 per cell]
Hg  0.000  0.500  0.321 [1 per cell]
Hg  0.500  0.000  0.502 [1 per cell]
Hg  0.500  0.500  0.828 [1 per cell]



Run ii
DFT (SCAN) results for CdHg3 at its PBEsol-relaxed geometry.

DOS(E_F) (states/eV/atom): 0.298

Unit cell a=6.240 b=9.197 c=6.357 alpha=90.00 beta=90.00 gamma=90.00
Space group Pnma (No. 62)
Inequivalent atoms, fractional coordinates:
Cd  0.084  0.250  0.120 [4 per cell]
Hg  0.037  0.250  0.620 [4 per cell]
Hg  0.232  0.508  0.872 [8 per cell]



Stability check: which of them is most stable? run ii.



Run i
DFT (SCAN) results for CdHg3 at its PBEsol-relaxed geometry.

DOS(E_F) (states/eV/atom): 0.311

Unit cell a=4.453 b=4.453 c=4.453 alpha=90.00 beta=90.00 gamma=90.00
Space group Pm-3m (No. 221)
Inequivalent atoms, fractional coordinates:
Cd  0.000  0.000  0.000 [1 per cell]
Hg  0.000  0.500  0.500 [3 per cell]



Run ii
DFT (SCAN) results for CdHg3 at its PBEsol-relaxed geometry.

DOS(E_F) (states/eV/atom): 0.360

Unit cell a=5.658 b=5.658 c=5.658 alpha=90.00 beta=90.00 gamma=90.00
Space group Pm-3n (No. 223)
Inequivalent atoms, fractional coordinates:
Cd  0.000  0.000  0.000 [2 per cell]
Hg  0.000  0.250  0.500 [6 per cell]



Stability check: which of them is most stable? run i.



Run i
DFT (SCAN) results for CdHg3 at its PBEsol-relaxed geometry.

DOS(E_F) (states/eV/atom): 0.285

Unit cell a=6.562 b=10.523 c=5.176 alpha=90.00 beta=90.00 gamma=90.00
Space group Cmcm (No. 63)
Inequivalent atoms, fractional coordinates:
Cd  0.000  0.089  0.250 [4 per cell]
Hg  0.000  0.414  0.750 [4 per cell]
Hg  0.245  0.161  0.750 [8 per cell]



Run ii
DFT (SCAN) results for CdHg3 at its PBEsol-relaxed geometry.

DOS(E_F) (states/eV/atom): 0.351

Unit cell a=9.5128 b=9.5128 c=3.5400 alpha=90.00 beta=90.00 gamma=120.00
Space group R-3m (No. 166, hexagonal axes)
Inequivalent atoms, fractional coordinates:
Cd  0.0000  0.0000  0.0000 [3 per cell]
Hg  0.0000  0.5000  0.0000 [9 per cell]



Run iii
DFT (SCAN) results for CdHg3 at its PBEsol-relaxed geometry.

DOS(E_F) (states/eV/atom): 0.290

Unit cell a=9.427 b=3.381 c=5.793 alpha=90.00 beta=102.62 gamma=90.00
Space group C2/m (No. 12)
Inequivalent atoms, fractional coordinates:
Cd  0.000  0.000  0.000 [2 per cell]
Hg  0.000  0.500  0.500 [2 per cell]
Hg  0.248  0.500  0.244 [4 per cell]



Stability check: which of them is most stable? run iii.



Run i
DFT (SCAN) results for CdHg3 at its PBEsol-relaxed geometry.

DOS(E_F) (states/eV/atom): 0.310

Unit cell a=3.065 b=4.274 c=6.833 alpha=90.00 beta=90.00 gamma=90.00
Space group Pmmm (No. 47)
Inequivalent atoms, fractional coordinates:
Cd  0.000  0.000  0.000 [1 per cell]
Hg  0.000  0.000  0.500 [1 per cell]
Hg  0.500  0.500  0.243 [2 per cell]



Run ii
DFT (SCAN) results for CdHg3 at its PBEsol-relaxed geometry.

DOS(E_F) (states/eV/atom): 0.260

Unit cell a=4.570 b=6.138 c=6.525 alpha=90.00 beta=90.00 gamma=90.00
Space group Pmmn (No. 59, origin choice 2)
Inequivalent atoms, fractional coordinates:
Cd  0.250  0.250  0.165 [2 per cell]
Hg  0.250  0.003  0.649 [4 per cell]
Hg  0.250  0.750  0.125 [2 per cell]



Stability check: which of them is most stable? run ii.



Run i
DFT (SCAN) results for CdHg3 at its PBEsol-relaxed geometry.

DOS(E_F) (states/eV/atom): 0.397

Unit cell a=3.1608 b=3.1608 c=10.3234 alpha=90.00 beta=90.00 gamma=120.00
Space group P-6m2 (No. 187)
Inequivalent atoms, fractional coordinates:
Cd  0.0000  0.0000  0.0000 [1 per cell]
Hg  0.0000  0.0000  0.5000 [1 per cell]
Hg  0.6667  0.3333  0.2469 [2 per cell]



Run ii
DFT (SCAN) results for CdHg3 at its PBEsol-relaxed geometry.

DOS(E_F) (states/eV/atom): 0.309

Unit cell a=6.2831 b=6.2831 c=5.1979 alpha=90.00 beta=90.00 gamma=120.00
Space group P6_3/mmc (No. 194)
Inequivalent atoms, fractional coordinates:
Cd  0.3333  0.6667  0.2500 [2 per cell]
Hg  0.1677  0.3353  0.7500 [6 per cell]



Stability check: which of them is most stable? run ii.